No. 1
Sr2WCl | GGA-PBEsol | relaxed

Summary:
The energy comes out at -17.7 eV for the cell shown. The formation energy (no corrections) is 0.44 eV/atom.

Geometry as extended XYZ:
```
4
Lattice="4.3630 0.0000 0.0000 0.0000 4.3630 0.0000 0.0000 0.0000 6.1914" Properties=species:S:1:pos:R:3 pbc="T T T"
Sr 0.0000 0.0000 3.0957
Sr 2.1815 2.1815 0.0000
Cl 2.1815 2.1815 3.0957
W 0.0000 0.0000 0.0000
```


No. 2
SrWCl | GGA-PBEsol | relaxed

Summary:
The energy comes out at -15.8 eV for the cell shown. The formation energy (no corrections) is 0.62 eV/atom.

Geometry as extended XYZ:
```
3
Lattice="3.1692 0.0000 0.0000 -1.5846 2.7446 0.0000 0.0000 0.0000 7.0310" Properties=species:S:1:pos:R:3 pbc="T T T"
Cl 0.0000 0.0000 0.2364
Sr 0.0000 1.8297 4.6883
W 1.5846 0.9149 2.1062
```


No. 3
Sr2Y2Cl | GGA-PBEsol | relaxed

Summary:
The energy comes out at -17.3 eV for the cell shown. The formation energy (no corrections) is 0.41 eV/atom.

Geometry as extended XYZ:
```
5
Lattice="-0.9022 0.8956 -4.1498 4.0990 -0.9203 -1.0897 -4.0417 -9.1562 1.1723" Properties=species:S:1:pos:R:3 pbc="T T T"
Sr 0.8279 -5.0444 -1.2686
Cl 0.0000 0.0000 0.0000
Y 1.1566 -1.6703 -2.8815
Y -2.0014 -7.5106 -1.1857
Sr -1.6727 -4.1365 -2.7986
```


No. 4
SrYCl4 | GGA-PBEsol | relaxed

Summary:
The energy comes out at -20.9 eV for the cell shown. The formation energy (no corrections) is -0.70 eV/atom.

Geometry as extended XYZ:
```
6
Lattice="-4.7991 1.7554 -2.9952 -0.6421 -1.4846 -5.6981 -4.1136 -3.9563 -1.5843" Properties=species:S:1:pos:R:3 pbc="T T T"
Cl -5.9852 -0.5015 -5.3521
Y 0.0000 0.0000 0.0000
Cl -3.9022 -2.1250 -6.7065
Sr -7.1661 -2.7642 -7.7081
Cl -5.6417 -3.3635 -4.6451
Cl -3.5805 -1.3811 -3.8513
```